# CeNbSi2Rh5 PBE optimized geometry
# Uncorrected energy ... -7.6186 eV/atom
# E_form (uncorrected) ... -551 meV/atom
data_CeNbSi2Rh5
_chemical_formula_sum 'Ce1 Nb1 Si2 Rh5'
_cell_length_a 4.010
_cell_length_b 4.010
_cell_length_c 10.517
_cell_angle_alpha 90.00
_cell_angle_beta 90.00
_cell_angle_gamma 90.00
_symmetry_space_group_name_H-M 'P 4/m m m'
_symmetry_Int_Tables_number 123
_symmetry_space_group_name_Hall '-P 4 2'
loop_
_atom_site_label
_atom_site_type_symbol
_atom_site_fract_x
_atom_site_fract_y
_atom_site_fract_z
Ce1 Ce 0.000 0.000 0.000
Nb1 Nb 0.000 0.000 0.500
Si1 Si 0.500 0.500 0.223
Rh1 Rh 0.000 0.500 0.338
Rh2 Rh 0.500 0.500 0.000


# CeNbRu PBE optimized geometry
# ΔE to the lowest computed polymorph ... 0 meV/atom
# Uncorrected energy ... -8.5177 eV/atom
data_CeNbRu
_chemical_formula_sum 'Ce2 Nb2 Ru2'
_cell_length_a 3.175
_cell_length_b 3.175
_cell_length_c 11.935
_cell_angle_alpha 90.00
_cell_angle_beta 90.00
_cell_angle_gamma 90.00
_symmetry_space_group_name_H-M 'I 4 m m'
_symmetry_Int_Tables_number 107
_symmetry_space_group_name_Hall 'I 4 -2'
loop_
_atom_site_label
_atom_site_type_symbol
_atom_site_fract_x
_atom_site_fract_y
_atom_site_fract_z
Ce1 Ce 0.000 0.000 0.000
Nb1 Nb 0.000 0.000 0.299
Ru1 Ru 0.000 0.000 0.682


# CeNbRu2 PBE optimized geometry
# Uncorrected energy ... -8.9213 eV/atom
data_CeNbRu2
_chemical_formula_sum 'Ce1 Nb1 Ru2'
_cell_length_a 3.160
_cell_length_b 3.160
_cell_length_c 7.289
_cell_angle_alpha 90.00
_cell_angle_beta 90.00
_cell_angle_gamma 90.00
_symmetry_space_group_name_H-M 'P 4/m m m'
_symmetry_Int_Tables_number 123
_symmetry_space_group_name_Hall '-P 4 2'
loop_
_atom_site_label
_atom_site_type_symbol
_atom_site_fract_x
_atom_site_fract_y
_atom_site_fract_z
Ce1 Ce 0.000 0.000 0.000
Nb1 Nb 0.000 0.000 0.500
Ru1 Ru 0.500 0.500 0.289


# CeNbRu PBE optimized geometry
# ΔE to the lowest computed polymorph ... 185 meV/atom
# Uncorrected energy ... -8.3323 eV/atom
data_CeNbRu
_chemical_formula_sum 'Ce1 Nb1 Ru1'
_cell_length_a 4.2730
_cell_length_b 4.2730
_cell_length_c 4.1482
_cell_angle_alpha 90.00
_cell_angle_beta 90.00
_cell_angle_gamma 120.00
_symmetry_space_group_name_H-M 'P 3 m 1'
_symmetry_Int_Tables_number 156
loop_
_symmetry_equiv_pos_as_xyz
'x,y,z'
'-y,x-y,z'
'-x+y,-x,z'
'-y,-x,z'
'-x+y,y,z'
'x,x-y,z'
loop_
_atom_site_label
_atom_site_type_symbol
_atom_site_fract_x
_atom_site_fract_y
_atom_site_fract_z
Ce1 Ce 0.0000 0.0000 0.0000
Nb1 Nb 0.6667 0.3333 0.4532
Ru1 Ru 0.3333 0.6667 0.5939


# CeNbS3 PBE optimized geometry
# ΔE to the lowest computed polymorph ... 0 meV/atom
# Uncorrected energy ... -7.1904 eV/atom
# E_form (uncorrected) ... -1513 meV/atom
data_CeNbS3
_chemical_formula_sum 'Ce2 Nb2 S6'
_cell_length_a 7.270
_cell_length_b 3.697
_cell_length_c 7.712
_cell_angle_alpha 90.00
_cell_angle_beta 99.33
_cell_angle_gamma 90.00
_symmetry_space_group_name_H-M 'P 1 21/m 1'
_symmetry_Int_Tables_number 11
loop_
_symmetry_equiv_pos_as_xyz
'x,y,z'
'-x,-y,-z'
'-x,y+1/2,-z'
'x,-y+1/2,z'
loop_
_atom_site_label
_atom_site_type_symbol
_atom_site_fract_x
_atom_site_fract_y
_atom_site_fract_z
Ce1 Ce 0.127 0.250 0.286
Nb1 Nb 0.380 0.750 0.876
S1 S 0.133 0.250 0.901
S2 S 0.205 0.750 0.559
S3 S 0.412 0.750 0.203


# Ce2NbS5 PBE optimized geometry
# Uncorrected energy ... -6.7921 eV/atom
# E_form (uncorrected) ... -1470 meV/atom
data_Ce2NbS5
_chemical_formula_sum 'Ce8 Nb4 S20'
_cell_length_a 5.303
_cell_length_b 13.286
_cell_length_c 12.524
_cell_angle_alpha 90.00
_cell_angle_beta 90.00
_cell_angle_gamma 90.00
_symmetry_space_group_name_H-M 'C m c m'
_symmetry_Int_Tables_number 63
_symmetry_space_group_name_Hall '-C 2c 2'
loop_
_atom_site_label
_atom_site_type_symbol
_atom_site_fract_x
_atom_site_fract_y
_atom_site_fract_z
Ce1 Ce 0.000 0.145 0.068
Nb1 Nb 0.000 0.195 0.750
S1 S 0.000 0.051 0.625
S2 S 0.000 0.273 0.250
S3 S 0.000 0.308 0.583


# CeNbS4 PBE optimized geometry
# Uncorrected energy ... -6.6204 eV/atom
# E_form (uncorrected) ... -1202 meV/atom
data_CeNbS4
_chemical_formula_sum 'Ce2 Nb2 S8'
_cell_length_a 7.569
_cell_length_b 5.930
_cell_length_c 7.255
_cell_angle_alpha 90.00
_cell_angle_beta 116.95
_cell_angle_gamma 90.00
_symmetry_space_group_name_H-M 'P 1 21/c 1'
_symmetry_Int_Tables_number 14
loop_
_symmetry_equiv_pos_as_xyz
'x,y,z'
'-x,-y,-z'
'-x,y+1/2,-z+1/2'
'x,-y+1/2,z+1/2'
loop_
_atom_site_label
_atom_site_type_symbol
_atom_site_fract_x
_atom_site_fract_y
_atom_site_fract_z
Ce1 Ce 0.000 0.000 0.000
Nb1 Nb 0.500 0.000 0.500
S1 S 0.202 0.226 0.361
S2 S 0.357 0.740 0.686


# CeNb2S6 PBE optimized geometry
# Uncorrected energy ... -6.7561 eV/atom
# E_form (uncorrected) ... -1107 meV/atom
data_CeNb2S6
_chemical_formula_sum 'Ce2 Nb4 S12'
_cell_length_a 13.868
_cell_length_b 4.247
_cell_length_c 9.785
_cell_angle_alpha 90.00
_cell_angle_beta 128.83
_cell_angle_gamma 90.00
_symmetry_space_group_name_H-M 'C 1 2/m 1'
_symmetry_Int_Tables_number 12
loop_
_symmetry_equiv_pos_as_xyz
'x,y,z'
'-x,-y,-z'
'-x,y,-z'
'x,-y,z'
'x+1/2,y+1/2,z'
'-x+1/2,-y+1/2,-z'
'-x+1/2,y+1/2,-z'
'x+1/2,-y+1/2,z'
loop_
_atom_site_label
_atom_site_type_symbol
_atom_site_fract_x
_atom_site_fract_y
_atom_site_fract_z
Ce1 Ce 0.000 0.000 0.000
Nb1 Nb 0.013 0.500 0.351
S1 S 0.101 0.000 0.359
S2 S 0.114 0.500 0.974
S3 S 0.162 0.500 0.675


# CeNbS3 PBE optimized geometry
# ΔE to the lowest computed polymorph ... 215 meV/atom
# Uncorrected energy ... -6.9759 eV/atom
# E_form (uncorrected) ... -1299 meV/atom
data_CeNbS3
_chemical_formula_sum 'Ce4 Nb4 S12'
_cell_length_a 10.748
_cell_length_b 4.828
_cell_length_c 8.470
_cell_angle_alpha 90.00
_cell_angle_beta 111.56
_cell_angle_gamma 90.00
_symmetry_space_group_name_H-M 'C 1 2/m 1'
_symmetry_Int_Tables_number 12
loop_
_symmetry_equiv_pos_as_xyz
'x,y,z'
'-x,-y,-z'
'-x,y,-z'
'x,-y,z'
'x+1/2,y+1/2,z'
'-x+1/2,-y+1/2,-z'
'-x+1/2,y+1/2,-z'
'x+1/2,-y+1/2,z'
loop_
_atom_site_label
_atom_site_type_symbol
_atom_site_fract_x
_atom_site_fract_y
_atom_site_fract_z
Ce1 Ce 0.097 0.000 0.379
Nb1 Nb 0.123 0.500 0.936
S1 S 0.120 0.000 0.934
S2 S 0.126 0.500 0.229
S3 S 0.147 0.500 0.635


# CeNbSb3 PBE optimized geometry
# Uncorrected energy ... -6.2356 eV/atom
# E_form (uncorrected) ... -561 meV/atom
data_CeNbSb3
_chemical_formula_sum 'Ce4 Nb4 Sb12'
_cell_length_a 13.182
_cell_length_b 6.425
_cell_length_c 6.154
_cell_angle_alpha 90.00
_cell_angle_beta 90.00
_cell_angle_gamma 90.00
_symmetry_space_group_name_H-M 'P b c m'
_symmetry_Int_Tables_number 57
loop_
_symmetry_equiv_pos_as_xyz
'x,y,z'
'-x,-y,-z'
'-x,-y,z+1/2'
'x,y,-z+1/2'
'x,-y+1/2,-z'
'-x,y+1/2,z'
'-x,y+1/2,-z+1/2'
'x,-y+1/2,z+1/2'
loop_
_atom_site_label
_atom_site_type_symbol
_atom_site_fract_x
_atom_site_fract_y
_atom_site_fract_z
Ce1 Ce 0.186 0.003 0.250
Nb1 Nb 0.405 0.750 0.000
Sb1 Sb 0.002 0.750 0.000
Sb2 Sb 0.269 0.003 0.750
Sb3 Sb 0.425 0.117 0.250


# CeScNb PBE optimized geometry
# ΔE to the lowest computed polymorph ... 0 meV/atom
# Uncorrected energy ... -7.3616 eV/atom
data_CeScNb
_chemical_formula_sum 'Ce2 Sc2 Nb2'
_cell_length_a 4.868
_cell_length_b 3.078
_cell_length_c 9.031
_cell_angle_alpha 90.00
_cell_angle_beta 90.00
_cell_angle_gamma 90.00
_symmetry_space_group_name_H-M 'P m m a'
_symmetry_Int_Tables_number 51
loop_
_symmetry_equiv_pos_as_xyz
'x,y,z'
'-x,-y,-z'
'-x+1/2,-y,z'
'x+1/2,y,-z'
'x+1/2,-y,-z'
'-x+1/2,y,z'
'-x,y,-z'
'x,-y,z'
loop_
_atom_site_label
_atom_site_type_symbol
_atom_site_fract_x
_atom_site_fract_y
_atom_site_fract_z
Ce1 Ce 0.250 0.000 0.082
Sc1 Sc 0.250 0.500 0.717
Nb1 Nb 0.250 0.000 0.420


# CeSc2Nb PBE optimized geometry
# ΔE to the lowest computed polymorph ... 0 meV/atom
# Uncorrected energy ... -6.9632 eV/atom
data_CeSc2Nb
_chemical_formula_sum 'Ce1 Sc2 Nb1'
_cell_length_a 3.699
_cell_length_b 3.699
_cell_length_c 6.913
_cell_angle_alpha 90.00
_cell_angle_beta 90.00
_cell_angle_gamma 90.00
_symmetry_space_group_name_H-M 'P 4/m m m'
_symmetry_Int_Tables_number 123
_symmetry_space_group_name_Hall '-P 4 2'
loop_
_atom_site_label
_atom_site_type_symbol
_atom_site_fract_x
_atom_site_fract_y
_atom_site_fract_z
Ce1 Ce 0.000 0.000 0.000
Sc1 Sc 0.500 0.500 0.289
Nb1 Nb 0.000 0.000 0.500


# CeScNb PBE optimized geometry
# ΔE to the lowest computed polymorph ... 31 meV/atom
# Uncorrected energy ... -7.3310 eV/atom
data_CeScNb
_chemical_formula_sum 'Ce1 Sc1 Nb1'
_cell_length_a 4.9385
_cell_length_b 4.9385
_cell_length_c 3.1918
_cell_angle_alpha 90.00
_cell_angle_beta 90.00
_cell_angle_gamma 120.00
_symmetry_space_group_name_H-M 'P 3 m 1'
_symmetry_Int_Tables_number 156
loop_
_symmetry_equiv_pos_as_xyz
'x,y,z'
'-y,x-y,z'
'-x+y,-x,z'
'-y,-x,z'
'-x+y,y,z'
'x,x-y,z'
loop_
_atom_site_label
_atom_site_type_symbol
_atom_site_fract_x
_atom_site_fract_y
_atom_site_fract_z
Ce1 Ce 0.0000 0.0000 0.0000
Sc1 Sc 0.3333 0.6667 0.4999
Nb1 Nb 0.6667 0.3333 0.0020


# CeSc2Nb PBE optimized geometry
# ΔE to the lowest computed polymorph ... 183 meV/atom
# Uncorrected energy ... -6.7801 eV/atom
data_CeSc2Nb
_chemical_formula_sum 'Ce3 Sc6 Nb3'
_cell_length_a 3.0944
_cell_length_b 3.0944
_cell_length_c 33.5229
_cell_angle_alpha 90.00
_cell_angle_beta 90.00
_cell_angle_gamma 120.00
_symmetry_space_group_name_H-M 'R -3 m'
_symmetry_Int_Tables_number 166
_symmetry_space_group_name_Hall '-R 3 2"'
loop_
_atom_site_label
_atom_site_type_symbol
_atom_site_fract_x
_atom_site_fract_y
_atom_site_fract_z
Ce1 Ce 0.0000 0.0000 0.0000
Sc1 Sc 0.0000 0.0000 0.4169
Nb1 Nb 0.0000 0.0000 0.5000


# CeScNb PBE optimized geometry
# ΔE to the lowest computed polymorph ... 158 meV/atom
# Uncorrected energy ... -7.2034 eV/atom
data_CeScNb
_chemical_formula_sum 'Ce2 Sc2 Nb2'
_cell_length_a 3.609
_cell_length_b 3.609
_cell_length_c 10.403
_cell_angle_alpha 90.00
_cell_angle_beta 90.00
_cell_angle_gamma 90.00
_symmetry_space_group_name_H-M 'I 4 m m'
_symmetry_Int_Tables_number 107
_symmetry_space_group_name_Hall 'I 4 -2'
loop_
_atom_site_label
_atom_site_type_symbol
_atom_site_fract_x
_atom_site_fract_y
_atom_site_fract_z
Ce1 Ce 0.000 0.000 0.000
Sc1 Sc 0.000 0.000 0.307
Nb1 Nb 0.000 0.000 0.649


# CeThScNb PBE optimized geometry
# Uncorrected energy ... -7.1926 eV/atom
data_CeThScNb
_chemical_formula_sum 'Ce4 Th4 Sc4 Nb4'
_cell_length_a 7.419
_cell_length_b 7.419
_cell_length_c 7.419
_cell_angle_alpha 90.00
_cell_angle_beta 90.00
_cell_angle_gamma 90.00
_symmetry_space_group_name_H-M 'F -4 3 m'
_symmetry_Int_Tables_number 216
_symmetry_space_group_name_Hall 'F -4 2 3'
loop_
_atom_site_label
_atom_site_type_symbol
_atom_site_fract_x
_atom_site_fract_y
_atom_site_fract_z
Ce1 Ce 0.000 0.000 0.000
Th1 Th 0.000 0.000 0.500
Sc1 Sc 0.250 0.250 0.750
Nb1 Nb 0.250 0.250 0.250


# CeZrScNb PBE optimized geometry
# Uncorrected energy ... -7.5531 eV/atom
data_CeZrScNb
_chemical_formula_sum 'Ce4 Zr4 Sc4 Nb4'
_cell_length_a 7.151
_cell_length_b 7.151
_cell_length_c 7.151
_cell_angle_alpha 90.00
_cell_angle_beta 90.00
_cell_angle_gamma 90.00
_symmetry_space_group_name_H-M 'F -4 3 m'
_symmetry_Int_Tables_number 216
_symmetry_space_group_name_Hall 'F -4 2 3'
loop_
_atom_site_label
_atom_site_type_symbol
_atom_site_fract_x
_atom_site_fract_y
_atom_site_fract_z
Ce1 Ce 0.000 0.000 0.000
Zr1 Zr 0.000 0.000 0.500
Sc1 Sc 0.250 0.250 0.750
Nb1 Nb 0.250 0.250 0.250


# CeNb2Se6 PBE optimized geometry
# Uncorrected energy ... -6.1288 eV/atom
# E_form (uncorrected) ... -909 meV/atom
data_CeNb2Se6
_chemical_formula_sum 'Ce2 Nb4 Se12'
_cell_length_a 12.437
_cell_length_b 5.129
_cell_length_c 8.690
_cell_angle_alpha 90.00
_cell_angle_beta 122.33
_cell_angle_gamma 90.00
_symmetry_space_group_name_H-M 'C 1 2/m 1'
_symmetry_Int_Tables_number 12
loop_
_symmetry_equiv_pos_as_xyz
'x,y,z'
'-x,-y,-z'
'-x,y,-z'
'x,-y,z'
'x+1/2,y+1/2,z'
'-x+1/2,-y+1/2,-z'
'-x+1/2,y+1/2,-z'
'x+1/2,-y+1/2,z'
loop_
_atom_site_label
_atom_site_type_symbol
_atom_site_fract_x
_atom_site_fract_y
_atom_site_fract_z
Ce1 Ce 0.000 0.000 0.000
Nb1 Nb 0.195 0.000 0.568
Se1 Se 0.034 0.000 0.696
Se2 Se 0.145 0.500 0.081
Se3 Se 0.218 0.500 0.645


# CeNbSe PBE optimized geometry
# Uncorrected energy ... -7.2204 eV/atom
# E_form (uncorrected) ... -724 meV/atom
data_CeNbSe
_chemical_formula_sum 'Ce4 Nb4 Se4'
_cell_length_a 11.067
_cell_length_b 3.632
_cell_length_c 7.406
_cell_angle_alpha 90.00
_cell_angle_beta 116.43
_cell_angle_gamma 90.00
_symmetry_space_group_name_H-M 'C 1 2/m 1'
_symmetry_Int_Tables_number 12
loop_
_symmetry_equiv_pos_as_xyz
'x,y,z'
'-x,-y,-z'
'-x,y,-z'
'x,-y,z'
'x+1/2,y+1/2,z'
'-x+1/2,-y+1/2,-z'
'-x+1/2,y+1/2,-z'
'x+1/2,-y+1/2,z'
loop_
_atom_site_label
_atom_site_type_symbol
_atom_site_fract_x
_atom_site_fract_y
_atom_site_fract_z
Ce1 Ce 0.067 0.000 0.312
Nb1 Nb 0.177 0.500 0.067
Se1 Se 0.162 0.500 0.686


# CeNbSe3 PBE optimized geometry
# Uncorrected energy ... -6.4311 eV/atom
# E_form (uncorrected) ... -1140 meV/atom
data_CeNbSe3
_chemical_formula_sum 'Ce2 Nb2 Se6'
_cell_length_a 5.552
_cell_length_b 5.098
_cell_length_c 8.585
_cell_angle_alpha 90.00
_cell_angle_beta 97.78
_cell_angle_gamma 90.00
_symmetry_space_group_name_H-M 'P 1 21/m 1'
_symmetry_Int_Tables_number 11
loop_
_symmetry_equiv_pos_as_xyz
'x,y,z'
'-x,-y,-z'
'-x,y+1/2,-z'
'x,-y+1/2,z'
loop_
_atom_site_label
_atom_site_type_symbol
_atom_site_fract_x
_atom_site_fract_y
_atom_site_fract_z
Ce1 Ce 0.043 0.250 0.220
Nb1 Nb 0.470 0.750 0.373
Se1 Se 0.041 0.250 0.611
Se2 Se 0.260 0.750 0.079
Se3 Se 0.441 0.750 0.671